Er11Sn10 at its PBEsol-relaxed geometry. Source: Alexandria, functional SCAN.

formation energy from the elements: -0.812 eV/atom
VASP energy: -44.286 eV/atom
spin magnetization: 0.000 Bohr magnetons per cell
crystal system: tetragonal

Geometry as POSCAR:
```
Er11Sn10
1.0
-5.688 5.688 8.302
5.688 -5.688 8.302
5.688 5.688 -8.302
Er Sn
22 20
Cartesian
5.688 2.830 -3.126
3.775 0.000 1.699
7.601 0.000 1.699
0.000 0.000 2.792
5.688 -1.913 6.604
2.830 5.688 -3.126
2.858 0.000 5.176
3.716 3.716 0.000
1.972 -1.972 8.302
0.000 3.775 1.699
5.688 2.830 3.126
0.000 2.858 5.176
5.688 1.913 6.604
-1.972 1.972 8.302
1.972 1.972 8.302
2.830 5.688 3.126
2.858 0.000 11.429
0.000 7.601 1.699
0.000 0.000 13.813
-1.913 5.688 6.604
1.913 5.688 6.604
0.000 2.858 11.429
2.339 2.339 -2.911
3.349 -3.349 5.391
1.483 1.483 0.000
4.205 -4.205 8.302
5.688 1.644 0.000
5.688 0.000 4.151
2.339 2.339 2.911
3.349 -3.349 11.214
0.000 0.000 6.445
1.644 5.688 0.000
4.043 0.000 8.302
0.000 0.000 10.160
-3.349 3.349 5.391
3.349 3.349 5.391
0.000 5.688 4.151
0.000 4.043 8.302
-4.205 4.205 8.302
4.205 4.205 8.302
-3.349 3.349 11.214
3.349 3.349 11.214
```